[1]
{"formula": "LaRe3Rh", "functional": "PBEsol", "state": "optimized geometry", "e_form_ev_per_atom": 3.197, "energy_ev_per_cell": -37.50, "space_group": "Pm-3m (221)", "n_ef_per_ev_atom": 1.355, "crystal_system": "cubic", "lattice": [[4.6522, 0.0000, 0.0000], [0.0000, 4.6522, 0.0000], [0.0000, 0.0000, 4.6522]], "species": ["La", "Re", "Re", "Re", "Rh"], "frac_coords": [[0.0000, 0.0000, 0.0000], [0.0000, 0.0000, 0.5000], [0.0000, 0.5000, 0.0000], [0.5000, 0.0000, 0.0000], [0.5000, 0.5000, 0.5000]]}

---

[2]
{"formula": "LaReRh2", "functional": "PBEsol", "state": "optimized geometry", "e_form_ev_per_atom": 0.259, "energy_ev_per_cell": -33.92, "de_polymorph_mev_per_atom": 311.5, "space_group": "I4/mmm (139)", "n_ef_per_ev_atom": 1.392, "crystal_system": "tetragonal", "lattice": [[-2.0987, 2.0987, 3.8795], [2.0987, -2.0987, 3.8795], [2.0987, 2.0987, -3.8795]], "species": ["La", "Re", "Rh", "Rh"], "frac_coords": [[0.0000, 0.0000, 0.0000], [0.5000, 0.5000, 0.0000], [0.2500, 0.7500, 0.5000], [0.7500, 0.2500, 0.5000]]}

---

[3]
{"formula": "LaReSb2Rh", "functional": "PBEsol", "state": "optimized geometry", "formation_energy_uncorrected_ev_per_atom": 0.73, "energy_ev_per_cell": -32.27, "space_group": "P4/mmm (123)", "n_ef_per_ev_atom": 0.963, "crystal_system": "tetragonal", "lattice": [[5.0052, 0.0000, 0.0000], [0.0000, 5.0052, 0.0000], [0.0000, 0.0000, 5.0765]], "species": ["La", "Re", "Sb", "Sb", "Rh"], "frac_coords": [[0.0000, 0.0000, 0.0000], [0.5000, 0.5000, 0.0000], [0.0000, 0.5000, 0.5000], [0.5000, 0.0000, 0.5000], [0.0000, 0.0000, 0.5000]]}

---

[4]
{"formula": "LaRe2SbRh", "functional": "PBEsol", "state": "optimized geometry", "formation_energy_uncorrected_ev_per_atom": 2.09, "energy_ev_per_cell": -34.25, "space_group": "P4/mmm (123)", "n_ef_per_ev_atom": 1.476, "crystal_system": "tetragonal", "lattice": [[4.7581, 0.0000, 0.0000], [0.0000, 4.7581, 0.0000], [0.0000, 0.0000, 5.6574]], "species": ["La", "Re", "Re", "Sb", "Rh"], "frac_coords": [[0.0000, 0.0000, 0.0000], [0.0000, 0.5000, 0.5000], [0.5000, 0.0000, 0.5000], [0.0000, 0.0000, 0.5000], [0.5000, 0.5000, 0.0000]]}

---

[5]
{"formula": "LaRe2Ru", "functional": "PBEsol", "state": "optimized geometry", "e_form_ev_per_atom": 0.830, "energy_ev_per_cell": -38.86, "de_polymorph_mev_per_atom": 172.6, "space_group": "I4/mmm (139)", "n_ef_per_ev_atom": 1.925, "crystal_system": "tetragonal", "lattice": [[-2.2873, 2.2873, 3.2234], [2.2873, -2.2873, 3.2234], [2.2873, 2.2873, -3.2234]], "species": ["La", "Re", "Re", "Ru"], "frac_coords": [[0.0000, 0.0000, 0.0000], [0.2500, 0.7500, 0.5000], [0.7500, 0.2500, 0.5000], [0.5000, 0.5000, 0.0000]]}

---

[6]
{"formula": "LaRe2Ru", "functional": "PBEsol", "state": "optimized geometry", "e_form_ev_per_atom": 0.657, "energy_ev_per_cell": -39.55, "de_polymorph_mev_per_atom": 0.0, "space_group": "C2/m (12)", "n_ef_per_ev_atom": 1.246, "crystal_system": "monoclinic", "lattice": [[2.6722, -4.7997, 0.0000], [2.6722, 4.7997, 0.0000], [-0.8819, 0.0000, 2.6517]], "species": ["La", "Re", "Re", "Ru"], "frac_coords": [[0.0000, 0.0000, 0.0000], [0.0000, 0.5000, 0.5000], [0.5000, 0.0000, 0.5000], [0.5000, 0.5000, 0.0000]]}

---

[7]
{"formula": "LaTlRe2Ru", "functional": "PBEsol", "state": "optimized geometry", "e_form_ev_per_atom": 2.661, "energy_ev_per_cell": -31.51, "space_group": "P4/mmm (123)", "n_ef_per_ev_atom": 1.663, "crystal_system": "tetragonal", "lattice": [[4.9037, 0.0000, 0.0000], [0.0000, 4.9037, 0.0000], [0.0000, 0.0000, 4.6995]], "species": ["La", "Tl", "Re", "Re", "Ru"], "frac_coords": [[0.0000, 0.0000, 0.0000], [0.5000, 0.5000, 0.5000], [0.0000, 0.5000, 0.0000], [0.5000, 0.0000, 0.0000], [0.0000, 0.0000, 0.5000]]}

---

[8]
{"formula": "LaReS2", "functional": "PBEsol", "state": "optimized geometry", "formation_energy_uncorrected_ev_per_atom": -0.08, "energy_ev_per_cell": -27.77, "space_group": "R-3m (166)", "n_ef_per_ev_atom": 0.840, "crystal_system": "trigonal", "lattice": [[1.6320, 0.9422, 8.7275], [-1.6320, 0.9422, 8.7275], [0.0000, -1.8845, 8.7275]], "species": ["La", "Re", "S", "S"], "frac_coords": [[0.0000, 0.0000, 0.0000], [0.5000, 0.5000, 0.5000], [0.4153, 0.4153, 0.4153], [0.5847, 0.5847, 0.5847]]}

---

[9]
{"formula": "La3ReS", "functional": "PBEsol", "state": "optimized geometry", "formation_energy_uncorrected_ev_per_atom": 0.00, "energy_ev_per_cell": -33.73, "space_group": "Pm-3m (221)", "n_ef_per_ev_atom": 1.305, "crystal_system": "cubic", "lattice": [[5.4027, 0.0000, 0.0000], [0.0000, 5.4027, 0.0000], [0.0000, 0.0000, 5.4027]], "species": ["La", "La", "La", "Re", "S"], "frac_coords": [[0.0000, 0.0000, 0.5000], [0.0000, 0.5000, 0.0000], [0.5000, 0.0000, 0.0000], [0.0000, 0.0000, 0.0000], [0.5000, 0.5000, 0.5000]]}

---

[10]
{"formula": "La2ReSb", "functional": "PBEsol", "state": "optimized geometry", "formation_energy_uncorrected_ev_per_atom": 0.15, "energy_ev_per_cell": -27.97, "space_group": "R-3m (166)", "n_ef_per_ev_atom": 0.609, "crystal_system": "trigonal", "lattice": [[1.7366, 1.0026, 9.9103], [-1.7366, 1.0026, 9.9103], [0.0000, -2.0052, 9.9103]], "species": ["La", "La", "Re", "Sb"], "frac_coords": [[0.2390, 0.2390, 0.2390], [0.7610, 0.7610, 0.7610], [0.5000, 0.5000, 0.5000], [0.0000, 0.0000, 0.0000]]}

---

[11]
{"formula": "La2ReSb", "functional": "PBEsol", "state": "optimized geometry", "formation_energy_uncorrected_ev_per_atom": -0.06, "energy_ev_per_cell": -28.83, "space_group": "P4/mmm (123)", "n_ef_per_ev_atom": 1.045, "crystal_system": "tetragonal", "lattice": [[3.8692, 0.0000, 0.0000], [0.0000, 3.8692, 0.0000], [0.0000, 0.0000, 6.7736]], "species": ["La", "La", "Re", "Sb"], "frac_coords": [[0.0000, 0.0000, 0.2324], [0.0000, 0.0000, 0.7676], [0.5000, 0.5000, 0.0000], [0.5000, 0.5000, 0.5000]]}

---

[12]
{"formula": "La2ScRe", "functional": "PBEsol", "state": "optimized geometry", "e_form_ev_per_atom": 0.328, "energy_ev_per_cell": -29.32, "space_group": "F-43m (216)", "n_ef_per_ev_atom": 1.048, "crystal_system": "cubic", "lattice": [[0.0000, 3.5681, 3.5681], [3.5681, 0.0000, 3.5681], [3.5681, 3.5681, 0.0000]], "species": ["La", "La", "Sc", "Re"], "frac_coords": [[0.0000, 0.0000, 0.0000], [0.2500, 0.2500, 0.2500], [0.7500, 0.7500, 0.7500], [0.5000, 0.5000, 0.5000]]}

---

[13]
{"formula": "La2ScRe", "functional": "PBEsol", "state": "optimized geometry", "e_form_ev_per_atom": 0.328, "energy_ev_per_cell": -29.32, "space_group": "P4/mmm (123)", "n_ef_per_ev_atom": 1.134, "crystal_system": "tetragonal", "lattice": [[3.5250, 0.0000, 0.0000], [0.0000, 3.5250, 0.0000], [0.0000, 0.0000, 8.0050]], "species": ["La", "La", "Sc", "Re"], "frac_coords": [[0.0000, 0.0000, 0.2150], [0.0000, 0.0000, 0.7850], [0.5000, 0.5000, 0.5000], [0.5000, 0.5000, 0.0000]]}

---

[14]
{"formula": "LaScRe2", "functional": "PBEsol", "state": "optimized geometry", "e_form_ev_per_atom": 0.438, "energy_ev_per_cell": -36.86, "space_group": "C2/m (12)", "n_ef_per_ev_atom": 1.002, "crystal_system": "monoclinic", "lattice": [[4.8211, -1.8784, 0.0000], [4.8211, 1.8784, 0.0000], [-1.9382, 0.0000, 5.1233]], "species": ["La", "Sc", "Re", "Re"], "frac_coords": [[0.0000, 0.0000, 0.0000], [0.5000, 0.5000, 0.5000], [0.2516, 0.2516, 0.6368], [0.7484, 0.7484, 0.3632]]}

---

[15]
{"formula": "LaSc2Re", "functional": "PBEsol", "state": "optimized geometry", "e_form_ev_per_atom": 0.176, "energy_ev_per_cell": -31.18, "space_group": "Imm2 (44)", "n_ef_per_ev_atom": 1.325, "crystal_system": "orthorhombic", "lattice": [[-1.7372, 2.4967, 5.0664], [1.7372, -2.4967, 5.0664], [1.7372, 2.4967, -5.0664]], "species": ["La", "Sc", "Sc", "Re"], "frac_coords": [[0.0000, 0.0000, 0.0000], [0.4162, 0.4162, 0.0000], [0.7135, 0.2135, 0.5000], [0.2177, 0.7177, 0.5000]]}

---

Number 1: density 13.20 Mg/m³. Number 2: density 12.90 Mg/m³. Number 3: density 8.77 Mg/m³. Number 4: density 9.54 Mg/m³. Number 5: density 15.07 Mg/m³. Number 6: density 14.95 Mg/m³. Number 7: density 12.00 Mg/m³. Number 8: density 8.03 Mg/m³. Number 9: density 6.69 Mg/m³. Number 10: density 9.40 Mg/m³. Number 11: density 9.59 Mg/m³. Number 12: density 9.30 Mg/m³. Number 13: density 8.50 Mg/m³. Number 14: density 9.95 Mg/m³. Number 15: density 7.84 Mg/m³.